1.
PBE-GGA HfScZn4, relaxed; offset from the most stable computed form = 0.0492 eV/atom; DOS at the Fermi energy = 5.77 states/eV/cell; SG = No. 216
1.0
-0.6923 -4.4387 -2.6576
3.1275 -4.0847 0.8819
-1.8562 -4.2322 2.4264
Sc Hf Zn
1 1 4
Direct
0.2500 0.2500 0.2500
0.0000 0.0000 0.0000
0.6253 0.6253 0.6253
0.1242 0.6253 0.6253
0.6253 0.1242 0.6253
0.6253 0.6253 0.1242

---

2.
PBE-GGA HfSc2Zn6, relaxed; DOS at the Fermi energy = 5.89 states/eV/cell; SG = No. 191
1.0
3.1469 0.0000 0.0000
0.0000 6.5387 -3.7751
0.0000 0.0000 7.5502
Zn Sc Hf
6 2 1
Direct
0.5000 0.0000 0.6675
0.5000 0.0000 0.3325
0.5000 0.3325 0.0000
0.5000 0.6675 0.6675
0.5000 0.6675 0.0000
0.5000 0.3325 0.3325
0.0000 0.3333 0.6667
0.0000 0.6667 0.3333
0.0000 0.0000 0.0000

---

DFT formation energy for the records above, in order: -1.45, -2.84 eV per formula unit
Spin magnetization for the records above, in order: 1.44, 0.00 Bohr magnetons per cell